Record 1
NdEr4Hg2 after structural relaxation. Source: Alexandria via LeMat-Bulk, functional PBE-GGA.

Cell: 10.6908 10.6908 10.6908 Å, 27.07 27.07 27.07°
Closest atoms and distances in Å follow each position.
Sites, in units of the cell vectors:
Nd 0.0000 0.0000 0.0000  2 Hg 3.15, 6 Er 3.47
Er 0.2022 0.2022 0.2022  4 Hg 3.02-3.09
Er 0.3954 0.3954 0.3954  3 Hg 3.14, 3 Nd 3.47
Er 0.6046 0.6046 0.6046  3 Hg 3.14, 3 Nd 3.47
Er 0.7978 0.7978 0.7978  4 Hg 3.02-3.09
Hg 0.1021 0.1021 0.1021  7 Er 3.02-3.14, 1 Nd 3.15
Hg 0.8979 0.8979 0.8979  7 Er 3.02-3.14, 1 Nd 3.15

magnetization	0.04	Bohr magnetons per cell
SG	No. 166
formation energy	0.025	eV per atom


Record 2
CuAs2BrO after structural relaxation. Source: Alexandria via LeMat-Bulk, functional PBE-GGA.

Cell: 4.6822 4.6822 4.9240 Å, 90.00 90.00 90.00°
Closest atoms and distances in Å follow each position.
Sites, in units of the cell vectors:
Cu 0.0000 0.0000 0.0000  4 As 2.34, 2 Br 2.46
As 0.0000 0.5000 0.0000  2 Cu 2.34
As 0.5000 0.0000 0.0000  2 Cu 2.34
Br 0.0000 0.0000 0.5000  2 Cu 2.46
O 0.5000 0.5000 0.5000  4 Br 3.31, 8 As 3.40

formation energy without anion corrections	0.936	eV/atom
magnetization	1.00	Bohr magnetons per cell
energy above the lowest structure with this stoichiometry	547	meV/atom
SG	No. 123